(1)
The following is a DFT calculation (PBE) of Mg2SeSCl after structural relaxation.

Lattice parameters (Å, degrees): 5.108 4.869 5.108 90.00 90.00 90.00
Element x y z (fractional)
1 Mg 0.500 0.000 0.000
2 Mg 0.000 0.000 0.500
3 Se 0.000 0.000 0.000
4 Cl 0.000 0.500 0.000
5 S 0.500 0.500 0.500

Summary:
Magnetic moment: 0.00 μB per formula unit
Formation energy without anion corrections: -0.95 eV/f.u.
SG: P4/mmm

---

(2)
The following is a DFT calculation (PBE) of Ac6Co2AuBr3 after structural relaxation.

Lattice parameters (Å, degrees): 4.338 9.692 10.562 110.38 101.85 90.00
Element x y z (fractional)
1 Ac 0.682 0.551 0.365
2 Ac 0.021 0.241 0.042
3 Ac 0.663 0.131 0.327
4 Ac 0.979 0.759 0.958
5 Ac 0.337 0.869 0.673
6 Ac 0.318 0.449 0.635
7 Co 0.832 0.664 0.664
8 Co 0.168 0.336 0.336
9 Br 0.835 0.164 0.669
10 Br 0.165 0.836 0.331
11 Br 0.500 0.500 0.000
12 Au 0.500 0.000 0.000

Summary:
Magnetic moment: 0.00 μB per formula unit
Formation energy without anion corrections: -10.28 eV/f.u.
SG: C2/m

---

(3)
The following is a DFT calculation (PBE) of Ba2AgBi4Pt3 after structural relaxation.

Lattice parameters (Å, degrees): 4.991 4.991 11.147 90.00 90.00 90.00
Element x y z (fractional)
1 Ag 0.500 0.500 0.500
2 Pt 0.500 0.000 0.879
3 Pt 0.000 0.000 0.500
4 Pt 0.000 0.500 0.121
5 Ba 0.000 0.500 0.741
6 Ba 0.500 0.000 0.259
7 Bi 0.000 0.000 0.000
8 Bi 0.000 0.500 0.369
9 Bi 0.500 0.500 0.000
10 Bi 0.500 0.000 0.631

Summary:
Energy of formation from the pure elements: -0.573 eV/atom
Magnetic moment: 0.00 μB per formula unit
SG: P-4m2

---

(4)
The following is a DFT calculation (PBE) of Dy4ZrZn after structural relaxation.

Lattice parameters (Å, degrees): 3.486 3.486 13.394 90.00 90.00 90.00
Element x y z (fractional)
1 Dy 0.000 0.000 0.634
2 Dy 0.500 0.500 0.833
3 Dy 0.000 0.000 0.366
4 Dy 0.500 0.500 0.167
5 Zn 0.500 0.500 0.500
6 Zr 0.000 0.000 0.000

Summary:
Energy of formation from the pure elements: -0.060 eV/atom
Magnetic moment: 0.00 μB per formula unit
SG: P4/mmm

---

(5)
The following is a DFT calculation (PBE) of Gd2Fe17H3 after structural relaxation.

Lattice parameters (Å, degrees): 6.344 6.344 6.344 83.43 83.43 83.43
Element x y z (fractional)
1 Gd 0.655 0.655 0.655
2 Gd 0.345 0.345 0.345
3 Fe 0.000 0.714 0.286
4 Fe 0.094 0.094 0.094
5 Fe 0.286 0.714 0.000
6 Fe 0.000 0.286 0.714
7 Fe 0.848 0.340 0.340
8 Fe 0.340 0.340 0.848
9 Fe 0.152 0.660 0.660
10 Fe 0.660 0.660 0.152
11 Fe 0.000 0.000 0.500
12 Fe 0.340 0.848 0.340
13 Fe 0.714 0.286 0.000
14 Fe 0.906 0.906 0.906
15 Fe 0.500 0.000 0.000
16 Fe 0.660 0.152 0.660
17 Fe 0.000 0.500 0.000
18 Fe 0.286 0.000 0.714
19 Fe 0.714 0.000 0.286
20 H 0.500 0.500 0.000
21 H 0.500 0.000 0.500
22 H 0.000 0.500 0.500

Summary:
Magnetic moment: 34.27 μB per formula unit
SG: R-3m

---

(6)
The following is a DFT calculation (PBE) of Rb3Na2TlBr6 after structural relaxation.

Lattice parameters (Å, degrees): 4.704 9.466 10.487 103.01 102.96 90.00
Element x y z (fractional)
1 Br 0.675 0.567 0.349
2 Br 0.987 0.747 0.973
3 Br 0.013 0.253 0.027
4 Br 0.325 0.433 0.651
5 Br 0.667 0.111 0.335
6 Br 0.333 0.889 0.665
7 Rb 0.500 0.500 0.000
8 Rb 0.837 0.166 0.674
9 Rb 0.163 0.834 0.326
10 Tl 0.500 0.000 0.000
11 Na 0.828 0.659 0.657
12 Na 0.172 0.341 0.343

Summary:
Magnetic moment: 0.00 μB per formula unit
Formation energy without anion corrections: -18.15 eV/f.u.
SG: C2/m

---

(7)
The following is a DFT calculation (PBE) of SmY3Sb3 after structural relaxation.

Lattice parameters (Å, degrees): 9.260 9.260 9.260 90.00 90.00 90.00
Element x y z (fractional)
1 Y 0.679 0.679 0.679
2 Y 0.179 0.821 0.321
3 Y 0.574 0.074 0.426
4 Y 0.678 0.322 0.822
5 Y 0.074 0.426 0.574
6 Y 0.822 0.678 0.322
7 Y 0.178 0.178 0.178
8 Y 0.322 0.822 0.678
9 Y 0.321 0.179 0.821
10 Y 0.821 0.321 0.179
11 Y 0.926 0.926 0.926
12 Y 0.426 0.574 0.074
13 Sb 0.999 0.246 0.877
14 Sb 0.754 0.377 0.501
15 Sb 0.499 0.254 0.123
16 Sb 0.001 0.746 0.623
17 Sb 0.377 0.501 0.754
18 Sb 0.623 0.001 0.746
19 Sb 0.746 0.623 0.001
20 Sb 0.246 0.877 0.999
21 Sb 0.877 0.999 0.246
22 Sb 0.254 0.123 0.499
23 Sb 0.123 0.499 0.254
24 Sb 0.501 0.754 0.377
25 Sm 0.570 0.930 0.070
26 Sm 0.930 0.070 0.570
27 Sm 0.430 0.430 0.430
28 Sm 0.070 0.570 0.930

Summary:
Relative energy among the computed polymorphs: 0 meV per atom
Magnetic moment: 0.00 μB per formula unit
Formation energy without anion corrections: -7.23 eV/f.u.
SG: P2_13

---

(8)
The following is a DFT calculation (PBE) of Nd4CBr3 after structural relaxation.

Lattice parameters (Å, degrees): 5.678 8.246 10.429 90.00 90.00 90.00
Element x y z (fractional)
1 Nd 0.565 0.161 0.500
2 Nd 0.064 0.213 0.209
3 Nd 0.564 0.787 0.709
4 Nd 0.064 0.894 0.500
5 Nd 0.064 0.213 0.791
6 Nd 0.564 0.787 0.291
7 Nd 0.065 0.839 0.000
8 Nd 0.564 0.106 0.000
9 Br 0.065 0.270 0.500
10 Br 0.564 0.365 0.773
11 Br 0.564 0.365 0.227
12 Br 0.064 0.635 0.727
13 Br 0.064 0.635 0.273
14 Br 0.565 0.730 0.000
15 C 0.064 0.121 0.000
16 C 0.564 0.879 0.500

Summary:
Magnetic moment: 0.00 μB per formula unit
Formation energy without anion corrections: -7.11 eV/f.u.
SG: Pmmn

---

(9)
The following is a DFT calculation (PBE) of ZrPa2Rh9 after structural relaxation.

Lattice parameters (Å, degrees): 4.032 4.032 12.052 90.00 90.00 90.00
Element x y z (fractional)
1 Pa 0.000 0.000 0.330
2 Pa 0.000 0.000 0.670
3 Zr 0.000 0.000 0.000
4 Rh 0.500 0.500 0.000
5 Rh 0.000 0.500 0.163
6 Rh 0.500 0.000 0.837
7 Rh 0.000 0.500 0.837
8 Rh 0.500 0.000 0.163
9 Rh 0.500 0.500 0.331
10 Rh 0.000 0.500 0.500
11 Rh 0.500 0.500 0.669
12 Rh 0.500 0.000 0.500

Summary:
Energy of formation from the pure elements: -0.821 eV/atom
Magnetic moment: 0.00 μB per formula unit
SG: P4/mmm

---

(10)
The following is a DFT calculation (PBE) of AcNd4Cd after structural relaxation.

Lattice parameters (Å, degrees): 6.807 10.160 6.848 90.00 118.31 90.00
Element x y z (fractional)
1 Nd 0.645 0.679 0.597
2 Nd 0.912 0.350 0.873
3 Nd 0.412 0.150 0.873
4 Nd 0.588 0.850 0.127
5 Nd 0.088 0.650 0.127
6 Nd 0.145 0.821 0.597
7 Nd 0.355 0.321 0.403
8 Nd 0.855 0.179 0.403
9 Cd 0.000 0.500 0.500
10 Cd 0.500 0.000 0.500
11 Ac 0.500 0.500 0.000
12 Ac 0.000 0.000 0.000

Summary:
Energy of formation from the pure elements: -0.046 eV/atom
Relative energy among the computed polymorphs: 43 meV per atom
Magnetic moment: 0.00 μB per formula unit
SG: P2_1/c

---

(11)
The following is a DFT calculation (PBE) of La2Cr2Pt after structural relaxation.

Lattice parameters (Å, degrees): 3.414 3.414 9.492 79.64 79.64 90.00
Element x y z (fractional)
1 Cr 0.250 0.750 0.500
2 Cr 0.750 0.250 0.500
3 La 0.605 0.605 0.789
4 La 0.395 0.395 0.211
5 Pt 0.000 0.000 0.000

Summary:
Energy of formation from the pure elements: 0.038 eV/atom
Relative energy among the computed polymorphs: 0 meV per atom
Magnetic moment: 0.00 μB per formula unit
SG: I4/mmm

---

(12)
The following is a DFT calculation (PBE) of Nd2CuRuC after structural relaxation.

Lattice parameters (Å, degrees): 3.881 5.175 5.175 90.00 90.00 90.00
Element x y z (fractional)
1 Nd 0.000 0.500 0.000
2 Nd 0.000 0.000 0.500
3 Cu 0.500 0.500 0.500
4 Ru 0.500 0.000 0.000
5 C 0.000 0.000 0.000

Summary:
Energy of formation from the pure elements: -0.181 eV/atom
Magnetic moment: 0.00 μB per formula unit
SG: P4/mmm

---

(13)
The following is a DFT calculation (PBE) of K2TaSnMo after structural relaxation.

Lattice parameters (Å, degrees): 6.330 4.669 6.330 90.00 90.00 90.00
Element x y z (fractional)
1 Sn 0.500 0.500 0.500
2 Ta 0.000 0.500 0.000
3 K 0.000 0.000 0.500
4 K 0.500 0.000 0.000
5 Mo 0.000 0.000 0.000

Summary:
Energy of formation from the pure elements: 1.538 eV/atom
Magnetic moment: 1.26 μB per formula unit
SG: P4/mmm

---

(14)
The following is a DFT calculation (PBE) of In2AuSe after structural relaxation.

Lattice parameters (Å, degrees): 5.555 5.555 5.555 138.33 109.39 85.48
Element x y z (fractional)
1 In 0.496 0.496 0.000
2 In 0.004 0.004 0.000
3 Au 0.250 0.750 0.500
4 Se 0.750 0.250 0.500

Summary:
Magnetic moment: 0.00 μB per formula unit
Formation energy without anion corrections: -0.50 eV/f.u.
SG: Immm

---

(15)
The following is a DFT calculation (PBE) of Tm6PdSe3S2 after structural relaxation.

Lattice parameters (Å, degrees): 3.898 8.092 8.953 103.39 102.57 90.00
Element x y z (fractional)
1 Tm 0.004 0.239 0.008
2 Tm 0.996 0.761 0.992
3 Tm 0.329 0.429 0.658
4 Tm 0.335 0.903 0.671
5 Tm 0.665 0.097 0.329
6 Tm 0.671 0.571 0.342
7 S 0.169 0.338 0.338
8 S 0.831 0.662 0.662
9 Pd 0.500 0.000 0.000
10 Se 0.831 0.169 0.662
11 Se 0.169 0.831 0.338
12 Se 0.500 0.500 0.000

Summary:
Magnetic moment: 0.00 μB per formula unit
Formation energy without anion corrections: -19.52 eV/f.u.
SG: C2/m

---

(16)
The following is a DFT calculation (PBE) of Ba2Ga4Ag3Au after structural relaxation.

Lattice parameters (Å, degrees): 4.688 4.688 10.936 90.00 90.00 90.00
Element x y z (fractional)
1 Au 0.500 0.500 0.500
2 Ba 0.000 0.500 0.751
3 Ba 0.500 0.000 0.249
4 Ga 0.000 0.500 0.380
5 Ga 0.500 0.500 0.000
6 Ga 0.000 0.000 0.000
7 Ga 0.500 0.000 0.620
8 Ag 0.500 0.000 0.870
9 Ag 0.000 0.000 0.500
10 Ag 0.000 0.500 0.130

Summary:
Energy of formation from the pure elements: -0.351 eV/atom
Magnetic moment: 0.00 μB per formula unit
SG: P-4m2

---

(17)
The following is a DFT calculation (PBE) of PuHgCl2F6 after structural relaxation.

Lattice parameters (Å, degrees): 6.355 6.355 6.354 60.01 60.00 90.00
Element x y z (fractional)
1 F 0.264 0.736 0.000
2 F 0.264 0.264 0.471
3 F 0.264 0.264 0.000
4 F 0.736 0.736 0.000
5 F 0.736 0.264 0.000
6 F 0.736 0.736 0.529
7 Pu 0.500 0.500 0.000
8 Cl 0.750 0.250 0.500
9 Cl 0.250 0.750 0.500
10 Hg 0.000 0.000 0.000

Summary:
Magnetic moment: 2.00 μB per formula unit
Formation energy without anion corrections: -18.79 eV/f.u.
SG: Fm-3m

---

(18)
The following is a DFT calculation (PBE) of Ce2TiBePt6 after structural relaxation.

Lattice parameters (Å, degrees): 5.781 7.392 7.390 46.05 66.98 90.00
Element x y z (fractional)
1 Be 0.500 0.500 0.000
2 Ce 0.279 0.721 0.441
3 Ce 0.721 0.279 0.559
4 Pt 0.261 0.231 0.479
5 Pt 0.232 0.261 0.028
6 Pt 0.768 0.739 0.972
7 Pt 0.739 0.261 0.028
8 Pt 0.739 0.769 0.521
9 Pt 0.261 0.739 0.972
10 Ti 0.000 0.000 0.000

Summary:
Energy of formation from the pure elements: -0.797 eV/atom
Magnetic moment: 1.29 μB per formula unit
SG: R-3m

---

(19)
The following is a DFT calculation (PBE) of Ho4Bi3C after structural relaxation.

Lattice parameters (Å, degrees): 6.260 9.599 8.542 90.00 90.00 90.00
Element x y z (fractional)
1 Bi 0.056 0.104 0.500
2 Bi 0.563 0.353 0.310
3 Bi 0.063 0.647 0.810
4 Bi 0.556 0.896 0.000
5 Bi 0.563 0.353 0.690
6 Bi 0.063 0.647 0.190
7 Ho 0.062 0.962 0.000
8 Ho 0.571 0.681 0.277
9 Ho 0.562 0.038 0.500
10 Ho 0.571 0.681 0.723
11 Ho 0.631 0.201 0.000
12 Ho 0.071 0.319 0.223
13 Ho 0.071 0.319 0.777
14 Ho 0.131 0.799 0.500
15 C 0.498 0.803 0.500
16 C 0.998 0.197 0.000

Summary:
Energy of formation from the pure elements: -0.409 eV/atom
Magnetic moment: 0.00 μB per formula unit
SG: Pmn2_1

---

(20)
The following is a DFT calculation (PBE) of Pm3Dy3Tm2 after structural relaxation.

Lattice parameters (Å, degrees): 5.047 5.050 10.697 103.65 103.64 90.00
Element x y z (fractional)
1 Tm 0.250 0.750 0.499
2 Tm 0.750 0.250 0.501
3 Dy 0.373 0.373 0.746
4 Dy 0.627 0.627 0.254
5 Dy 0.500 0.000 0.000
6 Pm 0.000 0.500 0.000
7 Pm 0.126 0.126 0.252
8 Pm 0.874 0.874 0.748

Summary:
Energy of formation from the pure elements: 0.022 eV/atom
Relative energy among the computed polymorphs: 0 meV per atom
Magnetic moment: 0.00 μB per formula unit
SG: Immm

---

Number 1: ρ 2.6 g cm⁻³, calculated total energy -2.72 eV per atom. Number 2: ρ 7.8 g cm⁻³, calculated total energy -4.79 eV per atom. Number 3: ρ 10.8 g cm⁻³, calculated total energy -4.61 eV per atom. Number 4: ρ 8.2 g cm⁻³, calculated total energy -4.76 eV per atom. Number 5: ρ 8.4 g cm⁻³, calculated total energy -8.28 eV per atom. Number 6: ρ 3.7 g cm⁻³, calculated total energy -3.01 eV per atom. Number 7: ρ 6.5 g cm⁻³, calculated total energy -6.24 eV per atom. Number 8: ρ 5.6 g cm⁻³, calculated total energy -5.05 eV per atom. Number 9: ρ 12.5 g cm⁻³, calculated total energy -8.63 eV per atom. Number 10: ρ 7.3 g cm⁻³, calculated total energy -4.06 eV per atom. Number 11: ρ 9.0 g cm⁻³, calculated total energy -6.99 eV per atom. Number 12: ρ 7.4 g cm⁻³, calculated total energy -6.61 eV per atom. Number 13: ρ 4.2 g cm⁻³, calculated total energy -4.24 eV per atom. Number 14: ρ 8.1 g cm⁻³, calculated total energy -3.18 eV per atom. Number 15: ρ 8.8 g cm⁻³, calculated total energy -5.85 eV per atom. Number 16: ρ 7.4 g cm⁻³, calculated total energy -3.13 eV per atom. Number 17: ρ 5.8 g cm⁻³, calculated total energy -4.83 eV per atom. Number 18: ρ 13.1 g cm⁻³, calculated total energy -6.77 eV per atom. Number 19: ρ 8.4 g cm⁻³, calculated total energy -5.31 eV per atom. Number 20: ρ 8.1 g cm⁻³, calculated total energy -4.60 eV per atom.